Entry 1:
NbCrB (PBE-GGA, optimized geometry); energy relative to the elements = -130 kJ/mol of formula units; polymorph energy (0 for the lowest one) = 0.000 eV/atom; space-group type = Pmma (51)
1.0
3.191 0.000 0.000
0.000 6.202 0.000
0.000 0.000 10.620
B Nb Cr
6 6 6
direct
0.500 0.949 0.586
0.000 0.548 0.250
0.500 0.051 0.414
0.000 0.452 0.750
0.500 0.949 0.914
0.500 0.051 0.086
0.000 0.238 0.952
0.000 0.762 0.048
0.000 0.855 0.750
0.000 0.145 0.250
0.000 0.238 0.548
0.000 0.762 0.452
0.500 0.427 0.375
0.500 0.793 0.250
0.500 0.573 0.875
0.500 0.427 0.125
0.500 0.207 0.750
0.500 0.573 0.625

Entry 2:
AcBiPdPb (PBE-GGA, optimized geometry); energy relative to the elements = -147 kJ/mol of formula units; space-group type = F-43m (216)
1.0
-4.700 -0.676 -2.792
-4.709 -0.903 2.711
-3.881 3.905 0.154
Pd Pb Ac Bi
1 1 1 1
direct
0.750 0.750 0.750
0.000 0.000 0.000
0.500 0.500 0.500
0.250 0.250 0.250

Entry 3:
Ba2LiIn6Ga (PBE-GGA, optimized geometry); energy relative to the elements = -235 kJ/mol of formula units; space-group type = R-3m (166)
1.0
-2.188 -3.048 6.262
-1.986 -7.023 0.142
11.210 -6.866 4.830
In Li Ba Ga
12 2 4 2
direct
0.800 0.244 0.155
0.756 0.200 0.845
0.061 0.646 0.646
0.646 0.646 0.646
0.646 0.061 0.646
0.354 0.939 0.354
0.939 0.354 0.354
0.800 0.800 0.155
0.244 0.800 0.155
0.200 0.756 0.845
0.200 0.200 0.845
0.354 0.354 0.354
0.000 0.000 0.000
0.500 0.500 0.500
0.308 0.308 0.076
0.692 0.692 0.924
0.864 0.864 0.407
0.136 0.136 0.593
0.422 0.422 0.733
0.578 0.578 0.267

Entry 4:
NaAlSnO4 (PBE-GGA, optimized geometry); formation energy without anion corrections = -2107 meV/atom; space-group type = Imma (74)
1.0
5.960 0.000 0.000
-2.980 5.419 -0.483
0.000 -3.355 5.517
Sn Al O Na
2 2 8 2
direct
0.500 0.000 0.500
0.500 0.000 0.000
0.500 0.500 0.500
0.000 0.500 0.500
0.737 0.474 0.287
0.752 0.046 0.273
0.294 0.046 0.273
0.263 0.526 0.313
0.263 0.526 0.713
0.706 0.954 0.727
0.248 0.954 0.727
0.737 0.474 0.687
0.858 0.717 0.108
0.142 0.283 0.892

We obtain total magnetization values of 0.185 0.000 0.000 0.000 μB per atom for the records listed above, in that order.